No. 1
DFT (PBE) results for crystalline SiSnIr2 at its relaxed geometry.

It has space group Pmc2_1 (No. 26), with a = 3.551 Å, b = 6.809 Å, c = 5.747 Å, α = 90.00°, β = 90.00° and γ = 90.00°. The inequivalent atoms are Si at (0.000, 0.143, 0.000), Sn at (0.500, 0.333, 0.398), Ir at (0.000, 0.407, 0.746) and Ir at (0.500, 0.021, 0.698).

The calculation puts the energy above the most stable polymorph in this dataset at 169 meV/atom.

***

No. 2
DFT (PBE) results for crystalline SrSiIr at its relaxed geometry.

It has space group F-43m (No. 216), with a = 6.504 Å, b = 6.504 Å, c = 6.504 Å, α = 90.00°, β = 90.00° and γ = 90.00°. The inequivalent atoms are Sr at (0.000, 0.000, 0.000), Si at (0.000, 0.000, 0.500) and Ir at (0.250, 0.250, 0.750).

For the total energy, the calculation gives -5.23 eV/atom.

***

No. 3
DFT (PBE) results for crystalline SrZnSi2Ir at its relaxed geometry.

It has space group I-4m2 (No. 119), with a = 4.191 Å, b = 4.191 Å, c = 10.387 Å, α = 90.00°, β = 90.00° and γ = 90.00°. The inequivalent atoms are Sr at (0.000, 0.000, 0.000), Zn at (0.000, 0.500, 0.750), Si at (0.000, 0.000, 0.378) and Ir at (0.000, 0.500, 0.250).

For the total energy, the calculation gives -5.02 eV/atom.

***

Summary of volume in Å³/cell
138.9; 275.1; 182.5
(order as listed above)